(1)
VASP calculation (GGA-PBE) on crystalline PuReAs at its relaxed geometry.

Unit cell a=4.4546 b=4.4546 c=4.4546 alpha=60.00 beta=60.00 gamma=60.00
Last column: nearest neighbours and their distance in Å.
Fractional positions:
Pu: 0.0000 0.0000 0.0000  4 As 2.73, 4 Re 2.73
Re: 0.2500 0.2500 0.2500  4 Pu 2.73
As: 0.7500 0.7500 0.7500  4 Pu 2.73

Mass density = 13.42 g cm⁻³
Offset from the most stable computed form = 599 meV per atom
SG = No. 216

(2)
VASP calculation (GGA-PBE) on crystalline HfZrGa2Au2 at its relaxed geometry.

Unit cell a=4.4144 b=4.4144 c=6.5988 alpha=90.00 beta=90.00 gamma=120.00
Last column: nearest neighbours and their distance in Å.
Fractional positions:
Hf: 0.0000 0.0000 0.0000  6 Ga 2.92, 6 Au 3.13
Zr: 0.0000 0.0000 0.5000  6 Au 2.95, 6 Ga 3.17
Ga: 0.6667 0.3333 0.2146  3 Au 2.58, 1 Ga 2.83
Ga: 0.6667 0.3333 0.7854  3 Au 2.58, 1 Ga 2.83
Au: 0.3333 0.6667 0.2762  3 Ga 2.58
Au: 0.3333 0.6667 0.7238  3 Ga 2.58

Mass density = 11.98 g cm⁻³
Offset from the most stable computed form = 21 meV per atom
SG = No. 187

(3)
VASP calculation (GGA-PBE) on crystalline BaCdInPtPb at its relaxed geometry.

Unit cell a=5.0013 b=5.0013 c=11.5491 alpha=90.00 beta=90.00 gamma=90.00
Last column: nearest neighbours and their distance in Å.
Fractional positions:
Ba: 0.2500 0.2500 0.2297  4 Pt 3.65, 5 Pb 3.82-3.87, 4 Cd 3.86, 4 In 4.00
Ba: 0.7500 0.7500 0.7703  4 Pt 3.65, 5 Pb 3.82-3.87, 4 Cd 3.86, 4 In 4.00
Cd: 0.2500 0.2500 0.6363  4 In 2.95, 1 Pb 2.98
Cd: 0.7500 0.7500 0.3637  4 In 2.95, 1 Pb 2.98
In: 0.2500 0.7500 0.5000  4 Cd 2.95
In: 0.7500 0.2500 0.5000  4 Cd 2.95
Pt: 0.2500 0.7500 0.0000  4 Pb 2.78
Pt: 0.7500 0.2500 0.0000  4 Pb 2.78
Pb: 0.2500 0.2500 0.8946  4 Pt 2.78, 1 Cd 2.98
Pb: 0.7500 0.7500 0.1054  4 Pt 2.78, 1 Cd 2.98

Mass density = 8.82 g cm⁻³
Offset from the most stable computed form = 143 meV per atom
SG = No. 129

What is the mass density in the first record? 13.42 g cm⁻³

Look up the offset from the most stable computed form of the first one. 599 meV per atom

Repeat the second record exactly.
VASP calculation (GGA-PBE) on crystalline HfZrGa2Au2 at its relaxed geometry.

Unit cell a=4.4144 b=4.4144 c=6.5988 alpha=90.00 beta=90.00 gamma=120.00
Last column: nearest neighbours and their distance in Å.
Fractional positions:
Hf: 0.0000 0.0000 0.0000  6 Ga 2.92, 6 Au 3.13
Zr: 0.0000 0.0000 0.5000  6 Au 2.95, 6 Ga 3.17
Ga: 0.6667 0.3333 0.2146  3 Au 2.58, 1 Ga 2.83
Ga: 0.6667 0.3333 0.7854  3 Au 2.58, 1 Ga 2.83
Au: 0.3333 0.6667 0.2762  3 Ga 2.58
Au: 0.3333 0.6667 0.7238  3 Ga 2.58

Mass density = 11.98 g cm⁻³
Offset from the most stable computed form = 21 meV per atom
SG = No. 187